Material: CaVAs2Ru
Method: DFT, PBE-GGA
State: relaxed

SG   I-4m2 (119)
Formation energy from the elements   -0.59 eV/atom
Spin magnetization   0.29 μB/f.u.

CIF file:
```
data_CaVAs2Ru
_space_group_name_H-M_alt 'P 1'
_space_group_IT_number 1
_cell_length_a 3.916
_cell_length_b 3.916
_cell_length_c 12.446
_cell_angle_alpha 90.00
_cell_angle_beta 90.00
_cell_angle_gamma 90.00
loop_
_space_group_symop_operation_xyz
'x,y,z'
loop_
_atom_site_label
_atom_site_type_symbol
_atom_site_fract_x
_atom_site_fract_y
_atom_site_fract_z
Ca1 Ca 0.000 0.000 0.000
Ca2 Ca 0.500 0.500 0.500
V1 V 0.000 0.500 0.250
V2 V 0.500 0.000 0.750
As1 As 0.000 0.000 0.373
As2 As 0.000 0.000 0.627
As3 As 0.500 0.500 0.127
As4 As 0.500 0.500 0.873
Ru1 Ru 0.000 0.500 0.750
Ru2 Ru 0.500 0.000 0.250
```

Material: Ca2AsS
Method: DFT, PBE-GGA
State: relaxed

SG   R-3m (166)
E_form (uncorrected)   -34.2 kcal/mol of atoms
Spin magnetization   0.00 μB/f.u.

CIF file:
```
data_Ca2AsS
_space_group_name_H-M_alt 'P 1'
_space_group_IT_number 1
_cell_length_a 3.978
_cell_length_b 3.978
_cell_length_c 21.908
_cell_angle_alpha 90.00
_cell_angle_beta 90.00
_cell_angle_gamma 120.00
loop_
_space_group_symop_operation_xyz
'x,y,z'
loop_
_atom_site_label
_atom_site_type_symbol
_atom_site_fract_x
_atom_site_fract_y
_atom_site_fract_z
Ca1 Ca 0.000 0.000 0.243
Ca2 Ca 0.000 0.000 0.757
Ca3 Ca 0.333 0.667 0.424
Ca4 Ca 0.333 0.667 0.909
Ca5 Ca 0.667 0.333 0.091
Ca6 Ca 0.667 0.333 0.576
As1 As 0.000 0.000 0.000
As2 As 0.333 0.667 0.667
As3 As 0.667 0.333 0.333
S1 S 0.000 0.000 0.500
S2 S 0.333 0.667 0.167
S3 S 0.667 0.333 0.833
```

Material: CaAs2S
Method: DFT, PBE-GGA
State: relaxed

SG   I-42d (122)
E_form (uncorrected)   -5.9 kcal/mol of atoms
Spin magnetization   0.00 μB/f.u.

CIF file:
```
data_CaAs2S
_space_group_name_H-M_alt 'P 1'
_space_group_IT_number 1
_cell_length_a 8.178
_cell_length_b 8.178
_cell_length_c 5.465
_cell_angle_alpha 90.00
_cell_angle_beta 90.00
_cell_angle_gamma 90.00
loop_
_space_group_symop_operation_xyz
'x,y,z'
loop_
_atom_site_label
_atom_site_type_symbol
_atom_site_fract_x
_atom_site_fract_y
_atom_site_fract_z
Ca1 Ca 0.000 0.000 0.000
Ca2 Ca 0.000 0.500 0.250
Ca3 Ca 0.500 0.000 0.750
Ca4 Ca 0.500 0.500 0.500
As1 As 0.212 0.250 0.625
As2 As 0.250 0.712 0.875
As3 As 0.250 0.788 0.375
As4 As 0.288 0.250 0.125
As5 As 0.712 0.750 0.125
As6 As 0.750 0.212 0.375
As7 As 0.750 0.288 0.875
As8 As 0.788 0.750 0.625
S1 S 0.000 0.000 0.500
S2 S 0.000 0.500 0.750
S3 S 0.500 0.000 0.250
S4 S 0.500 0.500 0.000
```

Material: CaAs3S
Method: DFT, PBE-GGA
State: relaxed

SG   Pm-3m (221)
E_form (uncorrected)   26.6 kcal/mol of atoms
Spin magnetization   0.90 μB/f.u.

CIF file:
```
data_CaAs3S
_space_group_name_H-M_alt 'P 1'
_space_group_IT_number 1
_cell_length_a 5.366
_cell_length_b 5.366
_cell_length_c 5.366
_cell_angle_alpha 90.00
_cell_angle_beta 90.00
_cell_angle_gamma 90.00
loop_
_space_group_symop_operation_xyz
'x,y,z'
loop_
_atom_site_label
_atom_site_type_symbol
_atom_site_fract_x
_atom_site_fract_y
_atom_site_fract_z
Ca1 Ca 0.000 0.000 0.000
As1 As 0.000 0.000 0.500
As2 As 0.000 0.500 0.000
As3 As 0.500 0.000 0.000
S1 S 0.500 0.500 0.500
```

Material: Ca2AsS
Method: DFT, PBE-GGA
State: relaxed

SG   I-42d (122)
E_form (uncorrected)   -27.5 kcal/mol of atoms
Spin magnetization   0.00 μB/f.u.

CIF file:
```
data_Ca2AsS
_space_group_name_H-M_alt 'P 1'
_space_group_IT_number 1
_cell_length_a 7.543
_cell_length_b 7.543
_cell_length_c 7.480
_cell_angle_alpha 90.00
_cell_angle_beta 90.00
_cell_angle_gamma 90.00
loop_
_space_group_symop_operation_xyz
'x,y,z'
loop_
_atom_site_label
_atom_site_type_symbol
_atom_site_fract_x
_atom_site_fract_y
_atom_site_fract_z
Ca1 Ca 0.231 0.250 0.125
Ca2 Ca 0.250 0.731 0.375
Ca3 Ca 0.250 0.769 0.875
Ca4 Ca 0.269 0.250 0.625
Ca5 Ca 0.731 0.750 0.625
Ca6 Ca 0.750 0.231 0.875
Ca7 Ca 0.750 0.269 0.375
Ca8 Ca 0.769 0.750 0.125
As1 As 0.000 0.000 0.500
As2 As 0.000 0.500 0.750
As3 As 0.500 0.000 0.250
As4 As 0.500 0.500 0.000
S1 S 0.000 0.000 0.000
S2 S 0.000 0.500 0.250
S3 S 0.500 0.000 0.750
S4 S 0.500 0.500 0.500
```

Material: Ca2As2S
Method: DFT, PBE-GGA
State: relaxed

SG   P4/mbm (127)
E_form (uncorrected)   -23.1 kcal/mol of atoms
Spin magnetization   0.00 μB/f.u.

CIF file:
```
data_Ca2As2S
_space_group_name_H-M_alt 'P 1'
_space_group_IT_number 1
_cell_length_a 7.531
_cell_length_b 7.531
_cell_length_c 4.484
_cell_angle_alpha 90.00
_cell_angle_beta 90.00
_cell_angle_gamma 90.00
loop_
_space_group_symop_operation_xyz
'x,y,z'
loop_
_atom_site_label
_atom_site_type_symbol
_atom_site_fract_x
_atom_site_fract_y
_atom_site_fract_z
Ca1 Ca 0.186 0.314 0.000
Ca2 Ca 0.314 0.814 0.000
Ca3 Ca 0.686 0.186 0.000
Ca4 Ca 0.814 0.686 0.000
As1 As 0.110 0.610 0.500
As2 As 0.390 0.110 0.500
As3 As 0.610 0.890 0.500
As4 As 0.890 0.390 0.500
S1 S 0.000 0.000 0.000
S2 S 0.500 0.500 0.000
```

Material: CaAsS2
Method: DFT, PBE-GGA
State: relaxed

SG   R-3m (166)
E_form (uncorrected)   -14.2 kcal/mol of atoms
Spin magnetization   0.00 μB/f.u.

CIF file:
```
data_CaAsS2
_space_group_name_H-M_alt 'P 1'
_space_group_IT_number 1
_cell_length_a 4.007
_cell_length_b 4.007
_cell_length_c 23.463
_cell_angle_alpha 90.00
_cell_angle_beta 90.00
_cell_angle_gamma 120.00
loop_
_space_group_symop_operation_xyz
'x,y,z'
loop_
_atom_site_label
_atom_site_type_symbol
_atom_site_fract_x
_atom_site_fract_y
_atom_site_fract_z
Ca1 Ca 0.000 0.000 0.000
Ca2 Ca 0.333 0.667 0.667
Ca3 Ca 0.667 0.333 0.333
As1 As 0.000 0.000 0.500
As2 As 0.333 0.667 0.167
As3 As 0.667 0.333 0.833
S1 S 0.000 0.000 0.400
S2 S 0.000 0.000 0.600
S3 S 0.333 0.667 0.067
S4 S 0.333 0.667 0.267
S5 S 0.667 0.333 0.733
S6 S 0.667 0.333 0.933
```

Material: Ca4AsS2
Method: DFT, PBE-GGA
State: relaxed

SG   I4_1/amd (141)
E_form (uncorrected)   -35.4 kcal/mol of atoms
Spin magnetization   0.87 μB/f.u.

CIF file:
```
data_Ca4AsS2
_space_group_name_H-M_alt 'P 1'
_space_group_IT_number 1
_cell_length_a 7.819
_cell_length_b 7.819
_cell_length_c 7.819
_cell_angle_alpha 109.26
_cell_angle_beta 109.26
_cell_angle_gamma 109.90
loop_
_space_group_symop_operation_xyz
'x,y,z'
loop_
_atom_site_label
_atom_site_type_symbol
_atom_site_fract_x
_atom_site_fract_y
_atom_site_fract_z
Ca1 Ca 0.198 0.260 0.562
Ca2 Ca 0.198 0.637 0.938
Ca3 Ca 0.260 0.198 0.062
Ca4 Ca 0.363 0.802 0.562
Ca5 Ca 0.637 0.198 0.438
Ca6 Ca 0.740 0.802 0.938
Ca7 Ca 0.802 0.363 0.062
Ca8 Ca 0.802 0.740 0.438
As1 As 0.125 0.875 0.250
As2 As 0.875 0.125 0.750
S1 S 0.000 0.500 0.500
S2 S 0.500 0.000 0.000
S3 S 0.500 0.500 0.000
S4 S 0.500 0.500 0.500
```

Material: Ca2AsS
Method: DFT, PBE-GGA
State: relaxed

SG   Fm-3m (225)
E_form (uncorrected)   -27.0 kcal/mol of atoms
Spin magnetization   0.00 μB/f.u.

CIF file:
```
data_Ca2AsS
_space_group_name_H-M_alt 'P 1'
_space_group_IT_number 1
_cell_length_a 7.168
_cell_length_b 7.168
_cell_length_c 7.168
_cell_angle_alpha 90.00
_cell_angle_beta 90.00
_cell_angle_gamma 90.00
loop_
_space_group_symop_operation_xyz
'x,y,z'
loop_
_atom_site_label
_atom_site_type_symbol
_atom_site_fract_x
_atom_site_fract_y
_atom_site_fract_z
Ca1 Ca 0.250 0.250 0.250
Ca2 Ca 0.250 0.250 0.750
Ca3 Ca 0.250 0.750 0.250
Ca4 Ca 0.250 0.750 0.750
Ca5 Ca 0.750 0.250 0.250
Ca6 Ca 0.750 0.250 0.750
Ca7 Ca 0.750 0.750 0.250
Ca8 Ca 0.750 0.750 0.750
As1 As 0.000 0.000 0.000
As2 As 0.000 0.500 0.500
As3 As 0.500 0.000 0.500
As4 As 0.500 0.500 0.000
S1 S 0.000 0.000 0.500
S2 S 0.000 0.500 0.000
S3 S 0.500 0.000 0.000
S4 S 0.500 0.500 0.500
```

Material: CaAs3S
Method: DFT, PBE-GGA
State: relaxed

SG   Pm-3m (221)
E_form (uncorrected)   1.4 kcal/mol of atoms
Spin magnetization   0.00 μB/f.u.

CIF file:
```
data_CaAs3S
_space_group_name_H-M_alt 'P 1'
_space_group_IT_number 1
_cell_length_a 4.890
_cell_length_b 4.890
_cell_length_c 4.890
_cell_angle_alpha 90.00
_cell_angle_beta 90.00
_cell_angle_gamma 90.00
loop_
_space_group_symop_operation_xyz
'x,y,z'
loop_
_atom_site_label
_atom_site_type_symbol
_atom_site_fract_x
_atom_site_fract_y
_atom_site_fract_z
Ca1 Ca 0.000 0.000 0.000
As1 As 0.000 0.500 0.500
As2 As 0.500 0.000 0.500
As3 As 0.500 0.500 0.000
S1 S 0.500 0.500 0.500
```

Material: Ca3AsS
Method: DFT, PBE-GGA
State: relaxed

SG   Pm-3m (221)
E_form (uncorrected)   -23.1 kcal/mol of atoms
Spin magnetization   0.00 μB/f.u.

CIF file:
```
data_Ca3AsS
_space_group_name_H-M_alt 'P 1'
_space_group_IT_number 1
_cell_length_a 5.249
_cell_length_b 5.249
_cell_length_c 5.249
_cell_angle_alpha 90.00
_cell_angle_beta 90.00
_cell_angle_gamma 90.00
loop_
_space_group_symop_operation_xyz
'x,y,z'
loop_
_atom_site_label
_atom_site_type_symbol
_atom_site_fract_x
_atom_site_fract_y
_atom_site_fract_z
Ca1 Ca 0.000 0.000 0.500
Ca2 Ca 0.000 0.500 0.000
Ca3 Ca 0.500 0.000 0.000
As1 As 0.500 0.500 0.500
S1 S 0.000 0.000 0.000
```

Material: CaAsS2
Method: DFT, PBE-GGA
State: relaxed

SG   I-42d (122)
E_form (uncorrected)   -15.9 kcal/mol of atoms
Spin magnetization   0.00 μB/f.u.

CIF file:
```
data_CaAsS2
_space_group_name_H-M_alt 'P 1'
_space_group_IT_number 1
_cell_length_a 5.565
_cell_length_b 5.565
_cell_length_c 14.244
_cell_angle_alpha 90.00
_cell_angle_beta 90.00
_cell_angle_gamma 90.00
loop_
_space_group_symop_operation_xyz
'x,y,z'
loop_
_atom_site_label
_atom_site_type_symbol
_atom_site_fract_x
_atom_site_fract_y
_atom_site_fract_z
Ca1 Ca 0.000 0.000 0.000
Ca2 Ca 0.000 0.500 0.250
Ca3 Ca 0.500 0.000 0.750
Ca4 Ca 0.500 0.500 0.500
As1 As 0.000 0.000 0.500
As2 As 0.000 0.500 0.750
As3 As 0.500 0.000 0.250
As4 As 0.500 0.500 0.000
S1 S 0.212 0.250 0.625
S2 S 0.250 0.712 0.875
S3 S 0.250 0.788 0.375
S4 S 0.288 0.250 0.125
S5 S 0.712 0.750 0.125
S6 S 0.750 0.212 0.375
S7 S 0.750 0.288 0.875
S8 S 0.788 0.750 0.625
```